No. 1
Compound: Na2Sc2AlGaAu2
Source: OQMD via LeMat-Bulk
Functional: PBE-GGA
Structure: optimized geometry

M_tot ... 0.0 μB per formula unit
Uncorrected energy ... -3.9451 eV per atom

Unit cell a=4.697 b=4.697 c=6.645 alpha=90.00 beta=90.00 gamma=90.00
Space group P-4m2 (No. 115)
One atom of each set of equivalent atoms:
Na  0.000  0.500  0.247 x2
Sc  0.000  0.000  0.500 x1
Sc  0.500  0.500  0.000 x1
Al  0.500  0.500  0.500 x1
Ga  0.000  0.000  0.000 x1
Au  0.000  0.500  0.744 x2

No. 2
Compound: NdAlGaPdAu
Source: OQMD via LeMat-Bulk
Functional: PBE-GGA
Structure: optimized geometry

M_tot ... 0.0 μB per formula unit
Energy above the most stable polymorph in this dataset ... 10.5 meV/atom

Unit cell a=4.397 b=4.397 c=10.408 alpha=90.00 beta=90.00 gamma=90.00
Space group P4/nmm (No. 129, origin choice 2)
One atom of each set of equivalent atoms:
Nd  0.250  0.250  0.250 x2
Al  0.250  0.250  0.616 x2
Ga  0.250  0.750  0.000 x2
Pd  0.250  0.750  0.500 x2
Au  0.250  0.250  0.859 x2

No. 3
Compound: NdAlGaPdAu
Source: OQMD via LeMat-Bulk
Functional: PBE-GGA
Structure: optimized geometry

M_tot ... 0.0 μB per formula unit
Energy above the most stable polymorph in this dataset ... 0.0 meV/atom

Unit cell a=4.348 b=4.348 c=10.599 alpha=90.00 beta=90.00 gamma=90.00
Space group P4/nmm (No. 129, origin choice 2)
One atom of each set of equivalent atoms:
Nd  0.250  0.250  0.245 x2
Al  0.250  0.750  0.500 x2
Ga  0.250  0.250  0.876 x2
Pd  0.250  0.750  0.000 x2
Au  0.250  0.250  0.634 x2

No. 4
Compound: NdAlGaPdAu
Source: OQMD via LeMat-Bulk
Functional: PBE-GGA
Structure: optimized geometry

M_tot ... 0.0 μB per formula unit
Energy above the most stable polymorph in this dataset ... 19.8 meV/atom

Unit cell a=4.450 b=4.450 c=10.169 alpha=90.00 beta=90.00 gamma=90.00
Space group P4/nmm (No. 129, origin choice 2)
One atom of each set of equivalent atoms:
Nd  0.250  0.250  0.242 x2
Al  0.250  0.250  0.636 x2
Ga  0.250  0.750  0.000 x2
Pd  0.250  0.250  0.875 x2
Au  0.250  0.750  0.500 x2

No. 5
Compound: NdAlGaPdAu
Source: OQMD via LeMat-Bulk
Functional: PBE-GGA
Structure: optimized geometry

M_tot ... 0.0 μB per formula unit
Energy above the most stable polymorph in this dataset ... 22.3 meV/atom

Unit cell a=4.382 b=4.382 c=10.479 alpha=90.00 beta=90.00 gamma=90.00
Space group P4/nmm (No. 129, origin choice 2)
One atom of each set of equivalent atoms:
Nd  0.250  0.250  0.249 x2
Al  0.250  0.750  0.000 x2
Ga  0.250  0.250  0.643 x2
Pd  0.250  0.250  0.877 x2
Au  0.250  0.750  0.500 x2

No. 6
Compound: SrAlGaPdAu
Source: OQMD via LeMat-Bulk
Functional: PBE-GGA
Structure: optimized geometry

Energy above the most stable polymorph in this dataset ... 31.1 meV/atom

Unit cell a=4.592 b=4.592 c=10.049 alpha=90.00 beta=90.00 gamma=90.00
Space group P4/nmm (No. 129, origin choice 2)
One atom of each set of equivalent atoms:
Sr  0.250  0.250  0.246 x2
Al  0.250  0.250  0.628 x2
Ga  0.250  0.750  0.000 x2
Pd  0.250  0.250  0.878 x2
Au  0.250  0.750  0.500 x2

What volume values result from the calculations? In sequence: 146.58; 201.17; 200.33; 201.35; 201.25; 211.91 Å³/cell.